{"formula": "SiRu", "functional": "PBE", "state": "relaxed", "raw_formation_energy_ev_per_atom": 0.369, "lattice_angstrom": [[-3.560, -6.288, 0.858], [-0.552, -0.673, -7.225], [6.322, -3.600, -0.148]], "species": ["Si", "Si", "Si", "Si", "Si", "Si", "Si", "Si", "Ru", "Ru", "Ru", "Ru", "Ru", "Ru", "Ru", "Ru"], "fractional_positions": [[0.179, 0.179, 0.179], [0.179, 0.821, 0.821], [0.821, 0.179, 0.821], [0.821, 0.821, 0.179], [0.679, 0.679, 0.679], [0.679, 0.321, 0.321], [0.321, 0.679, 0.321], [0.321, 0.321, 0.679], [0.361, 0.361, 0.361], [0.361, 0.639, 0.639], [0.639, 0.361, 0.639], [0.639, 0.639, 0.361], [0.861, 0.861, 0.861], [0.861, 0.139, 0.139], [0.139, 0.861, 0.139], [0.139, 0.139, 0.861]]}

***

{"formula": "SrZr2Cr", "functional": "PBE", "state": "relaxed", "e_above_lowest_polymorph_mev_per_atom": 206.7, "delta_e_f_mev_per_atom": 544, "lattice_angstrom": [[6.148, 0.088, -0.084], [2.576, 5.583, 0.084], [-3.475, -4.201, 2.845]], "species": ["Cr", "Sr", "Zr", "Zr"], "fractional_positions": [[0.750, 0.250, 0.500], [0.250, 0.750, 0.500], [0.950, 0.950, 0.000], [0.550, 0.550, 0.000]]}

***

{"formula": "SrNbN2F", "functional": "PBE", "state": "relaxed", "raw_formation_energy_ev_per_atom": 1.029, "e_above_lowest_polymorph_mev_per_atom": 2428.9, "lattice_angstrom": [[4.503, 0.000, 0.000], [0.000, 4.503, 0.000], [0.000, 0.000, 4.199]], "species": ["Sr", "Nb", "N", "N", "F"], "fractional_positions": [[0.000, 0.000, 0.000], [0.500, 0.500, 0.500], [0.000, 0.500, 0.000], [0.500, 0.000, 0.000], [0.000, 0.000, 0.500]]}